[1]
VASP calculation (PBE-GGA) on crystalline Li9Mg2Hg at its relaxed geometry.

Summary:
- formation energy from the elements (eV/atom) = -0.073
- density of states at the Fermi level (states/eV per cell) = 11.59

abc: 9.4781 5.5007 9.0127
angles: 90.00 90.29 90.00
Last column: nearest neighbours and their distance in Å.
Space group C2/m (No. 12)
Symmetry-distinct sites (fractional):
Li (0.0000, 0.0000, 0.0000) (multiplicity 2)  6 Li 2.79
Li (0.0837, 0.2547, 0.7474) (multiplicity 8)  5 Li 2.69-2.80, 1 Hg 2.75
Li (0.1670, 0.5000, 0.4316) (multiplicity 4)  12 Li 3.17-3.40, 3 Hg 3.21-3.23, 1 Mg 3.36
Li (0.1704, 0.0000, 0.2526) (multiplicity 4)  5 Li 2.69-2.79, 1 Hg 2.76
Mg (0.1661, 0.5000, 0.0589) (multiplicity 4)  13 Li 3.21-3.36, 3 Mg 3.32-3.35
Hg (0.0000, 0.0000, 0.5000) (multiplicity 2)  6 Li 2.75-2.76


[2]
VASP calculation (PBE-GGA) on crystalline BeCuOs2 at its relaxed geometry.

Summary:
- formation energy from the elements (eV/atom) = 0.328
- density of states at the Fermi level (states/eV per cell) = 3.05

abc: 2.6674 3.9766 4.9169
angles: 90.00 100.68 90.00
Last column: nearest neighbours and their distance in Å.
Space group P2/m (No. 10)
Symmetry-distinct sites (fractional):
Be (0.0000, 0.0000, 0.0000) (multiplicity 1)  4 Os 2.39, 2 Cu 2.57, 2 Be 2.67
Cu (0.5000, 0.0000, 0.5000) (multiplicity 1)  2 Be 2.57, 8 Os 2.61-2.86, 2 Cu 2.67
Os (0.1885, 0.5000, 0.7694) (multiplicity 2)  2 Be 2.39, 5 Os 2.55-2.67, 2 Cu 2.61


[3]
VASP calculation (PBE-GGA) on crystalline SbPtSe2 at its relaxed geometry.

Summary:
- formation energy (no corrections) (eV/atom) = -0.11
- density of states at the Fermi level (states/eV per cell) = 6.39

abc: 3.6681 3.6681 23.4396
angles: 90.00 90.00 120.00
Last column: nearest neighbours and their distance in Å.
Space group R-3m (No. 166, hexagonal axes)
Symmetry-distinct sites (fractional):
Sb (0.0000, 0.0000, 0.0000) (multiplicity 3)  6 Se 3.27
Pt (0.0000, 0.0000, 0.5000) (multiplicity 3)  6 Se 2.55
Se (0.0000, 0.0000, 0.2272) (multiplicity 6)  3 Pt 2.55


[4]
VASP calculation (PBE-GGA) on crystalline Pr2AgH6Ru at its relaxed geometry.

Summary:
- VASP energy (eV/atom) = -4.57
- density of states at the Fermi level (states/eV per cell) = 1.70

abc: 4.6333 4.6333 7.2135
angles: 90.00 90.00 120.00
Last column: nearest neighbours and their distance in Å.
Space group P-3m1 (No. 164)
Symmetry-distinct sites (fractional):
Pr (0.3333, 0.6667, 0.2768) (multiplicity 2)  6 H 2.41
Ag (0.0000, 0.0000, 0.0000) (multiplicity 1)  6 H 3.02, 6 Pr 3.34
H (0.1776, 0.3552, 0.6305) (multiplicity 6)  1 Ru 1.71
Ru (0.0000, 0.0000, 0.5000) (multiplicity 1)  6 H 1.71


> Among the records above, which one has the lowest density of states at the Fermi level?

Pr2AgH6Ru